Entry 1:
A plane-wave DFT calculation with PBE was carried out for Ru2RhPb after structural relaxation.

```
Ru2RhPb
1.0
4.563 -1.465 0.000
4.563 1.465 0.000
-0.985 0.000 4.923
Ru Rh Pb
2 1 1
Direct
0.244 0.244 0.214 Ru
0.756 0.756 0.786 Ru
0.500 0.500 0.000 Rh
0.000 0.000 0.500 Pb
```

Summary:
calculated formation energy: 374 meV per atom
electronic total energy: -28.12 eV per formula unit
magnetization: 0.000 μB/atom
ρ: 12.9 Mg/m³

=====

Entry 2:
A plane-wave DFT calculation with PBE was carried out for Ru2RhPb after structural relaxation.

```
Ru2RhPb
1.0
2.934 0.000 0.000
0.000 2.934 0.000
0.000 0.000 7.663
Ru Rh Pb
2 1 1
Direct
0.000 0.000 0.000 Ru
0.500 0.500 0.209 Ru
0.500 0.500 0.759 Rh
0.000 0.000 0.491 Pb
```

Summary:
calculated formation energy: 372 meV per atom
electronic total energy: -28.12 eV per formula unit
magnetization: 0.000 μB/atom
ρ: 12.9 Mg/m³

=====

Entry 3:
A plane-wave DFT calculation with PBE was carried out for Ru2RhPb after structural relaxation.

```
Ru2RhPb
1.0
-2.026 2.026 3.914
2.026 -2.026 3.914
2.026 2.026 -3.914
Ru Rh Pb
2 1 1
Direct
0.000 0.000 0.000 Ru
0.750 0.250 0.500 Ru
0.250 0.750 0.500 Rh
0.500 0.500 0.000 Pb
```

Summary:
calculated formation energy: 327 meV per atom
electronic total energy: -28.30 eV per formula unit
magnetization: 0.000 μB/atom
ρ: 13.2 Mg/m³

=====

Entry 4:
A plane-wave DFT calculation with PBE was carried out for Ru2RhPb after structural relaxation.

```
Ru2RhPb
1.0
2.867 -3.869 0.000
2.867 3.869 0.000
0.000 0.000 2.934
Ru Rh Pb
2 1 1
Direct
0.000 0.500 0.000 Ru
0.500 0.000 0.000 Ru
0.000 0.000 0.500 Rh
0.500 0.500 0.500 Pb
```

Summary:
calculated formation energy: 511 meV per atom
electronic total energy: -27.57 eV per formula unit
magnetization: 0.000 μB/atom
ρ: 13.1 Mg/m³

=====

Entry 5:
A plane-wave DFT calculation with PBE was carried out for Ru2RhPb after structural relaxation.

```
Ru2RhPb
1.0
-2.029 2.029 3.906
2.029 -2.029 3.906
2.029 2.029 -3.906
Ru Rh Pb
2 1 1
Direct
0.250 0.750 0.500 Ru
0.750 0.250 0.500 Ru
0.000 0.000 0.000 Rh
0.500 0.500 0.000 Pb
```

Summary:
calculated formation energy: 365 meV per atom
electronic total energy: -28.15 eV per formula unit
magnetization: 0.000 μB/atom
ρ: 13.2 Mg/m³

=====

Entry 6:
A plane-wave DFT calculation with PBE was carried out for SrRuRhPb2 after structural relaxation.

```
SrRuRhPb2
1.0
5.148 0.000 0.000
0.000 5.148 0.000
0.000 0.000 5.400
Sr Ru Rh Pb
1 1 1 2
Direct
0.000 0.000 0.000 Sr
0.000 0.000 0.500 Ru
0.500 0.500 0.000 Rh
0.000 0.500 0.500 Pb
0.500 0.000 0.500 Pb
```

Summary:
calculated formation energy: 587 meV per atom
electronic total energy: -22.79 eV per formula unit
magnetization: 0.000 μB/atom
ρ: 8.2 Mg/m³

=====

Entry 7:
A plane-wave DFT calculation with PBE was carried out for TaRu2RhPb after structural relaxation.

```
TaRu2RhPb
1.0
4.755 0.000 0.000
0.000 4.755 0.000
0.000 0.000 4.810
Ta Ru Rh Pb
1 2 1 1
Direct
0.000 0.000 0.000 Ta
0.000 0.500 0.000 Ru
0.500 0.000 0.000 Ru
0.000 0.000 0.500 Rh
0.500 0.500 0.500 Pb
```

Summary:
calculated formation energy: 1059 meV per atom
electronic total energy: -36.17 eV per formula unit
magnetization: 0.133 μB/atom
ρ: 10.6 Mg/m³

=====

Entry 8:
A plane-wave DFT calculation with PBE was carried out for ThRuRhPb after structural relaxation.

```
ThRuRhPb
1.0
0.000 3.452 3.452
3.452 0.000 3.452
3.452 3.452 0.000
Th Ru Rh Pb
1 1 1 1
Direct
0.000 0.000 0.000 Th
0.250 0.250 0.250 Ru
0.750 0.750 0.750 Rh
0.500 0.500 0.500 Pb
```

Summary:
calculated formation energy: -318 meV per atom
electronic total energy: -29.03 eV per formula unit
magnetization: 0.000 μB/atom
ρ: 13.0 Mg/m³

=====

Entry 9:
A plane-wave DFT calculation with PBE was carried out for Rh3PbS2 after structural relaxation.

```
Rh3PbS2
1.0
-1.947 1.947 7.460
1.947 -1.947 7.460
1.947 1.947 -7.460
Rh Pb S
3 1 2
Direct
0.000 0.000 0.000 Rh
0.250 0.750 0.500 Rh
0.750 0.250 0.500 Rh
0.500 0.500 0.000 Pb
0.157 0.157 0.000 S
0.843 0.843 0.000 S
```

Summary:
electronic total energy: -35.21 eV per formula unit
magnetization: 0.000 μB/atom
formation energy (no corrections): -0.1981 eV per atom
ρ: 8.5 Mg/m³

=====

Entry 10:
A plane-wave DFT calculation with PBE was carried out for Rh2PbS after structural relaxation.

```
Rh2PbS
1.0
-2.364 2.364 7.373
2.364 -2.364 7.373
2.364 2.364 -7.373
Rh Pb S
4 2 2
Direct
0.015 0.625 0.890 Rh
0.375 0.265 0.390 Rh
0.735 0.125 0.110 Rh
0.875 0.985 0.610 Rh
0.250 0.750 0.500 Pb
0.500 0.500 0.000 Pb
0.000 0.000 0.000 S
0.750 0.250 0.500 S
```

Summary:
electronic total energy: -22.94 eV per formula unit
magnetization: 0.000 μB/atom
formation energy (no corrections): -0.1011 eV per atom
ρ: 9.0 Mg/m³

=====

Entry 11:
A plane-wave DFT calculation with PBE was carried out for RhPb3S after structural relaxation.

```
RhPb3S
1.0
5.251 0.000 0.000
0.000 5.251 0.000
0.000 0.000 5.251
Rh Pb S
1 3 1
Direct
0.000 0.000 0.000 Rh
0.000 0.000 0.500 Pb
0.000 0.500 0.000 Pb
0.500 0.000 0.000 Pb
0.500 0.500 0.500 S
```

Summary:
energy above the lowest structure with this stoichiometry: 0 meV/atom
electronic total energy: -22.38 eV per formula unit
magnetization: 0.000 μB/atom
formation energy (no corrections): 0.0448 eV per atom
ρ: 8.7 Mg/m³

=====

Entry 12:
A plane-wave DFT calculation with PBE was carried out for RhPb3S after structural relaxation.

```
RhPb3S
1.0
5.396 0.000 0.000
0.000 5.396 0.000
0.000 0.000 5.396
Rh Pb S
1 3 1
Direct
0.000 0.000 0.000 Rh
0.000 0.500 0.500 Pb
0.500 0.000 0.500 Pb
0.500 0.500 0.000 Pb
0.500 0.500 0.500 S
```

Summary:
energy above the lowest structure with this stoichiometry: 622 meV/atom
electronic total energy: -19.27 eV per formula unit
magnetization: 0.000 μB/atom
formation energy (no corrections): 0.6670 eV per atom
ρ: 8.0 Mg/m³

=====

Entry 13:
A plane-wave DFT calculation with PBE was carried out for Rh2PbS after structural relaxation.

```
Rh2PbS
1.0
3.830 0.000 0.000
0.000 3.830 0.000
0.000 0.000 10.924
Rh Pb S
4 2 2
Direct
0.250 0.250 0.169 Rh
0.250 0.750 0.500 Rh
0.750 0.250 0.500 Rh
0.750 0.750 0.831 Rh
0.250 0.250 0.895 Pb
0.750 0.750 0.105 Pb
0.250 0.250 0.373 S
0.750 0.750 0.627 S
```

Summary:
electronic total energy: -23.19 eV per formula unit
magnetization: 0.000 μB/atom
formation energy (no corrections): -0.1617 eV per atom
ρ: 9.2 Mg/m³

=====

Entry 14:
A plane-wave DFT calculation with PBE was carried out for Rh3Pb2S2 after structural relaxation.

```
Rh3Pb2S2
1.0
2.901 1.675 4.678
-2.901 1.675 4.678
0.000 -3.350 4.678
Rh Pb S
3 2 2
Direct
0.000 0.500 0.500 Rh
0.500 0.000 0.500 Rh
0.500 0.500 0.000 Rh
0.000 0.000 0.000 Pb
0.500 0.500 0.500 Pb
0.218 0.218 0.218 S
0.782 0.782 0.782 S
```

Summary:
electronic total energy: -40.34 eV per formula unit
magnetization: 0.000 μB/atom
formation energy (no corrections): -0.3728 eV per atom
ρ: 9.6 Mg/m³

=====

Entry 15:
A plane-wave DFT calculation with PBE was carried out for Ti4RhPbS8 after structural relaxation.

```
Ti4RhPbS8
1.0
3.758 2.170 5.672
-3.758 2.170 5.672
0.000 -4.339 5.672
Ti Rh Pb S
4 1 1 8
Direct
0.000 0.000 0.000 Ti
0.145 0.604 0.604 Ti
0.604 0.145 0.604 Ti
0.604 0.604 0.145 Ti
0.647 0.647 0.647 Rh
0.192 0.192 0.192 Pb
0.366 0.366 0.366 S
0.387 0.883 0.883 S
0.413 0.413 0.806 S
0.413 0.806 0.413 S
0.806 0.413 0.413 S
0.862 0.862 0.862 S
0.883 0.387 0.883 S
0.883 0.883 0.387 S
```

Summary:
electronic total energy: -88.95 eV per formula unit
magnetization: 0.231 μB/atom
formation energy (no corrections): -0.9491 eV per atom
ρ: 4.5 Mg/m³

=====

Entry 16:
A plane-wave DFT calculation with PBE was carried out for SbRhPb2 after structural relaxation.

```
SbRhPb2
1.0
4.608 0.000 0.000
0.000 4.608 0.000
0.000 0.000 4.633
Sb Rh Pb
1 1 2
Direct
0.000 0.000 0.000 Sb
0.500 0.500 0.000 Rh
0.000 0.500 0.500 Pb
0.500 0.000 0.500 Pb
```

Summary:
electronic total energy: -17.95 eV per formula unit
magnetization: 0.000 μB/atom
formation energy (no corrections): 0.2341 eV per atom
ρ: 10.8 Mg/m³

=====

Entry 17:
A plane-wave DFT calculation with PBE was carried out for SbRhPb3 after structural relaxation.

```
SbRhPb3
1.0
5.300 0.000 0.000
0.000 5.300 0.000
0.000 0.000 5.300
Sb Rh Pb
1 1 3
Direct
0.000 0.000 0.000 Sb
0.500 0.500 0.500 Rh
0.000 0.500 0.500 Pb
0.500 0.000 0.500 Pb
0.500 0.500 0.000 Pb
```

Summary:
energy above the lowest structure with this stoichiometry: 0 meV/atom
electronic total energy: -22.32 eV per formula unit
magnetization: 0.000 μB/atom
formation energy (no corrections): 0.0560 eV per atom
ρ: 9.4 Mg/m³

=====

Entry 18:
A plane-wave DFT calculation with PBE was carried out for Sb2Rh2Pb after structural relaxation.

```
Sb2Rh2Pb
1.0
8.024 0.000 0.000
0.000 8.024 0.000
0.000 0.000 3.227
Sb Rh Pb
4 4 2
Direct
0.150 0.350 0.000 Sb
0.350 0.850 0.000 Sb
0.650 0.150 0.000 Sb
0.850 0.650 0.000 Sb
0.132 0.632 0.500 Rh
0.368 0.132 0.500 Rh
0.632 0.868 0.500 Rh
0.868 0.368 0.500 Rh
0.000 0.000 0.500 Pb
0.500 0.500 0.500 Pb
```

Summary:
energy above the lowest structure with this stoichiometry: 63 meV/atom
electronic total energy: -27.37 eV per formula unit
magnetization: 0.000 μB/atom
formation energy (no corrections): -0.1437 eV per atom
ρ: 10.5 Mg/m³

=====

Entry 19:
A plane-wave DFT calculation with PBE was carried out for SbRh2Pb2 after structural relaxation.

```
SbRh2Pb2
1.0
7.825 0.000 0.000
0.000 7.825 0.000
0.000 0.000 3.445
Sb Rh Pb
2 4 4
Direct
0.000 0.000 0.000 Sb
0.500 0.500 0.000 Sb
0.148 0.352 0.000 Rh
0.352 0.852 0.000 Rh
0.648 0.148 0.000 Rh
0.852 0.648 0.000 Rh
0.151 0.651 0.500 Pb
0.349 0.151 0.500 Pb
0.651 0.849 0.500 Pb
0.849 0.349 0.500 Pb
```

Summary:
electronic total energy: -26.16 eV per formula unit
magnetization: 0.000 μB/atom
formation energy (no corrections): 0.0158 eV per atom
ρ: 11.7 Mg/m³

=====

Entry 20:
A plane-wave DFT calculation with PBE was carried out for SbRhPb2 after structural relaxation.

```
SbRhPb2
1.0
-2.424 2.424 4.133
2.424 -2.424 4.133
2.424 2.424 -4.133
Sb Rh Pb
1 1 2
Direct
0.000 0.000 0.000 Sb
0.750 0.250 0.500 Rh
0.250 0.750 0.500 Pb
0.500 0.500 0.000 Pb
```

Summary:
electronic total energy: -18.04 eV per formula unit
magnetization: 0.000 μB/atom
formation energy (no corrections): 0.2122 eV per atom
ρ: 10.9 Mg/m³